Here is an optimized crystal structure of Na2IrClO from Alexandria via LeMat-Bulk. Energies are from PBE.

```
5
Lattice="5.2344 0.0000 0.0000 0.0000 5.2344 0.0000 0.0000 0.0000 4.3134" Properties=species:S:1:pos:R:3 pbc="T T T"
Na 0.0000 2.6172 0.0000
Na 2.6172 0.0000 0.0000
Ir 0.0000 0.0000 2.1567
Cl 0.0000 0.0000 0.0000
O 2.6172 2.6172 2.1567
```

Computed properties:
total magnetic moment = 1.68 μB/f.u.
calculated volume = 118 Å³ per cell
formation energy (no corrections) = 1.574 eV per formula unit
SG = P4/mmm, No. 123

Here is an optimized crystal structure of Na2IrOsCl from Alexandria via LeMat-Bulk. Energies are from PBE.

```
5
Lattice="5.8192 0.0000 0.0000 0.0000 5.8192 0.0000 0.0000 0.0000 4.5541" Properties=species:S:1:pos:R:3 pbc="T T T"
Na 0.0000 2.9096 0.0000
Na 2.9096 0.0000 0.0000
Ir 0.0000 0.0000 2.2770
Os 0.0000 0.0000 0.0000
Cl 2.9096 2.9096 2.2770
```

Computed properties:
total magnetic moment = 1.69 μB/f.u.
calculated volume = 154 Å³ per cell
formation energy (no corrections) = 4.090 eV per formula unit
SG = P4/mmm, No. 123

Here is an optimized crystal structure of Na2IrPbCl8 from Alexandria via LeMat-Bulk. Energies are from PBE.

```
12
Lattice="6.1574 0.0000 0.0000 0.0000 8.2808 0.0000 -0.2840 0.0000 6.4837" Properties=species:S:1:pos:R:3 pbc="T T T"
Na 0.0000 1.9778 0.0000
Na 0.0000 6.3030 0.0000
Ir 2.9367 0.0000 3.2418
Pb 2.9367 4.1404 3.2418
Cl 1.2589 4.1404 1.0704
Cl 1.6385 0.0000 1.2751
Cl 1.5664 1.6830 4.1478
Cl 1.5664 6.5978 4.1478
Cl 4.3070 1.6830 2.3359
Cl 4.3070 6.5978 2.3359
Cl 4.2349 0.0000 5.2086
Cl 4.6145 4.1404 5.4133
```

Computed properties:
total magnetic moment = 0.59 μB/f.u.
calculated volume = 331 Å³ per cell
formation energy (no corrections) = -12.271 eV per formula unit
SG = P2/m, No. 10

Here is an optimized crystal structure of Na2IrPbCl from Alexandria via LeMat-Bulk. Energies are from PBE.

```
5
Lattice="6.1836 0.0000 0.0000 0.0000 6.1836 0.0000 0.0000 0.0000 5.0090" Properties=species:S:1:pos:R:3 pbc="T T T"
Na 0.0000 3.0918 0.0000
Na 3.0918 0.0000 0.0000
Ir 0.0000 0.0000 2.5045
Pb 0.0000 0.0000 0.0000
Cl 3.0918 3.0918 2.5045
```

Computed properties:
total magnetic moment = 0.73 μB/f.u.
calculated volume = 192 Å³ per cell
formation energy (no corrections) = 1.976 eV per formula unit
SG = P4/mmm, No. 123

Here is an optimized crystal structure of RbNa2IrCl from Alexandria via LeMat-Bulk. Energies are from PBE.

```
5
Lattice="6.3804 0.0000 0.0000 0.0000 6.3804 0.0000 0.0000 0.0000 4.8567" Properties=species:S:1:pos:R:3 pbc="T T T"
Rb 0.0000 0.0000 0.0000
Na 0.0000 3.1902 0.0000
Na 3.1902 0.0000 0.0000
Ir 0.0000 0.0000 2.4283
Cl 3.1902 3.1902 2.4283
```

Computed properties:
total magnetic moment = 0.00 μB/f.u.
calculated volume = 198 Å³ per cell
formation energy (no corrections) = 4.220 eV per formula unit
SG = P4/mmm, No. 123

Here is an optimized crystal structure of RbNa2IrCl6 from Alexandria via LeMat-Bulk. Energies are from PBE.

```
10
Lattice="3.5308 2.0385 6.3825 -3.5308 2.0385 6.3825 0.0000 -4.0771 6.3825" Properties=species:S:1:pos:R:3 pbc="T T T"
Rb 0.0000 0.0000 0.0000
Na 0.0000 0.0000 5.4715
Na 0.0000 0.0000 15.4230
Ir 0.0000 0.0000 9.1959
Cl -1.8690 -0.2315 7.7654
Cl -0.9470 -1.7446 10.5381
Cl 1.1350 -1.5028 7.7654
Cl -1.0374 1.6924 10.5381
Cl 0.7340 1.7343 7.7654
Cl 1.9844 0.0522 10.5381
```

Computed properties:
total magnetic moment = 0.00 μB/f.u.
calculated volume = 276 Å³ per cell
formation energy (no corrections) = -12.699 eV per formula unit
SG = R3, No. 146

Here is an optimized crystal structure of NaIrRhCl2 from Alexandria via LeMat-Bulk. Energies are from PBE.

```
5
Lattice="4.6478 0.0000 0.0000 0.0000 4.6478 0.0000 0.0000 0.0000 5.1881" Properties=species:S:1:pos:R:3 pbc="T T T"
Na 0.0000 0.0000 0.0000
Ir 2.3239 2.3239 2.5941
Rh 0.0000 0.0000 2.5941
Cl 0.0000 2.3239 0.0000
Cl 2.3239 0.0000 0.0000
```

Computed properties:
total magnetic moment = 3.46 μB/f.u.
calculated volume = 112 Å³ per cell
formation energy (no corrections) = 6.273 eV per formula unit
SG = P4/mmm, No. 123

Here is an optimized crystal structure of NaIrS2Cl from Alexandria via LeMat-Bulk. Energies are from PBE.

```
5
Lattice="4.8950 0.0000 0.0000 0.0000 4.8950 0.0000 0.0000 0.0000 4.7353" Properties=species:S:1:pos:R:3 pbc="T T T"
Na 0.0000 0.0000 0.0000
Ir 2.4475 2.4475 2.3676
S 0.0000 2.4475 0.0000
S 2.4475 0.0000 0.0000
Cl 0.0000 0.0000 2.3676
```

Computed properties:
total magnetic moment = 3.90 μB/f.u.
calculated volume = 113 Å³ per cell
formation energy (no corrections) = 6.910 eV per formula unit
energy above the lowest structure with this stoichiometry = 36.84 kcal/mol of atoms
SG = P4/mmm, No. 123

Here is an optimized crystal structure of NaIrS2Cl from Alexandria via LeMat-Bulk. Energies are from PBE.

```
5
Lattice="4.5612 0.0000 0.0000 0.0000 4.5612 0.0000 0.0000 0.0000 5.4928" Properties=species:S:1:pos:R:3 pbc="T T T"
Na 0.0000 0.0000 0.0000
Ir 2.2806 2.2806 2.7464
S 0.0000 2.2806 2.7464
S 2.2806 0.0000 2.7464
Cl 2.2806 2.2806 0.0000
```

Computed properties:
total magnetic moment = 0.00 μB/f.u.
calculated volume = 114 Å³ per cell
formation energy (no corrections) = -1.079 eV per formula unit
energy above the lowest structure with this stoichiometry = 0.00 kcal/mol of atoms
SG = P4/mmm, No. 123

Here is an optimized crystal structure of NaSc2IrCl from Alexandria via LeMat-Bulk. Energies are from PBE.

```
5
Lattice="4.8183 0.0000 0.0000 0.0000 4.8183 0.0000 0.0000 0.0000 4.5822" Properties=species:S:1:pos:R:3 pbc="T T T"
Na 0.0000 0.0000 0.0000
Sc 0.0000 2.4092 2.2911
Sc 2.4092 0.0000 2.2911
Ir 2.4092 2.4092 0.0000
Cl 2.4092 2.4092 2.2911
```

Computed properties:
total magnetic moment = 0.00 μB/f.u.
calculated volume = 106 Å³ per cell
formation energy (no corrections) = 0.470 eV per formula unit
SG = P4/mmm, No. 123

Here is an optimized crystal structure of NaSrIrCl6 from Alexandria via LeMat-Bulk. Energies are from PBE.

```
18
Lattice="6.8971 0.0000 0.0000 -3.4486 5.9731 0.0000 0.0000 0.0000 11.9080" Properties=species:S:1:pos:R:3 pbc="T T T"
Na 0.0000 0.0000 0.0000
Na 0.0000 0.0000 5.9540
Sr 0.0000 3.9821 2.9770
Sr 3.4486 1.9910 8.9310
Ir 0.0000 3.9821 8.9310
Ir 3.4486 1.9910 2.9770
Cl -0.9367 2.3056 7.5207
Cl -1.9202 4.0091 10.3412
Cl 0.9367 2.3056 10.3412
Cl -0.9836 5.6315 7.5207
Cl 2.4650 0.3416 1.5667
Cl 1.5283 1.9639 4.3872
Cl 1.9202 4.0091 7.5207
Cl 0.9836 5.6315 10.3412
Cl 4.4321 0.3416 4.3872
Cl 2.5119 3.6675 1.5667
Cl 5.3688 1.9639 1.5667
Cl 4.3852 3.6675 4.3872
```

Computed properties:
total magnetic moment = 0.00 μB/f.u.
calculated volume = 491 Å³ per cell
formation energy (no corrections) = -12.570 eV per formula unit
SG = P-31c, No. 163

Here is an optimized crystal structure of NaTc2IrCl from Alexandria via LeMat-Bulk. Energies are from PBE.

```
5
Lattice="5.0170 0.0000 0.0000 0.0000 5.0170 0.0000 0.0000 0.0000 4.6980" Properties=species:S:1:pos:R:3 pbc="T T T"
Na 0.0000 0.0000 0.0000
Tc 0.0000 2.5085 0.0000
Tc 2.5085 0.0000 0.0000
Ir 0.0000 0.0000 2.3490
Cl 2.5085 2.5085 2.3490
```

Computed properties:
total magnetic moment = 9.08 μB/f.u.
calculated volume = 118 Å³ per cell
formation energy (no corrections) = 12.945 eV per formula unit
SG = P4/mmm, No. 123

Here is an optimized crystal structure of NaTeIrCl2 from Alexandria via LeMat-Bulk. Energies are from PBE.

```
5
Lattice="4.6370 0.0000 0.0000 0.0000 4.6370 0.0000 0.0000 0.0000 6.8001" Properties=species:S:1:pos:R:3 pbc="T T T"
Na 0.0000 0.0000 0.0000
Te 2.3185 2.3185 0.0000
Ir 0.0000 0.0000 3.4001
Cl 0.0000 2.3185 3.4001
Cl 2.3185 0.0000 3.4001
```

Computed properties:
total magnetic moment = 2.42 μB/f.u.
calculated volume = 146 Å³ per cell
formation energy (no corrections) = 0.741 eV per formula unit
SG = P4/mmm, No. 123

Here is an optimized crystal structure of NaTlIrCl6 from Alexandria via LeMat-Bulk. Energies are from PBE.

```
18
Lattice="6.9388 0.0000 0.0000 -3.4694 6.0091 0.0000 0.0000 0.0000 12.7624" Properties=species:S:1:pos:R:3 pbc="T T T"
Na 0.0000 4.0061 3.1906
Na 3.4694 2.0030 9.5718
Tl 0.0000 0.0000 0.0000
Tl 0.0000 0.0000 6.3812
Ir 0.0000 4.0061 9.5718
Ir 3.4694 2.0030 3.1906
Cl -1.0162 2.3888 8.2078
Cl -1.9087 3.9346 10.9357
Cl 1.0162 2.3888 10.9357
Cl -0.8925 5.6948 8.2078
Cl 2.5769 0.3143 1.8266
Cl 1.5607 2.0745 4.5545
Cl 1.9087 3.9346 8.2078
Cl 0.8925 5.6948 10.9357
Cl 4.3618 0.3143 4.5545
Cl 2.4531 3.6203 1.8266
Cl 5.3781 2.0745 1.8266
Cl 4.4856 3.6203 4.5545
```

Computed properties:
total magnetic moment = 1.03 μB/f.u.
calculated volume = 532 Å³ per cell
formation energy (no corrections) = -7.878 eV per formula unit
SG = P-31c, No. 163

Here is an optimized crystal structure of NaTl2IrCl6 from Alexandria via LeMat-Bulk. Energies are from PBE.

```
20
Lattice="7.2101 0.0000 0.0000 0.0000 10.2018 0.0000 0.0000 0.0000 7.2174" Properties=species:S:1:pos:R:3 pbc="T T T"
Na 1.8025 2.5504 1.7858
Na 5.4076 7.6513 5.4316
Tl 1.8025 0.0115 5.3982
Tl 1.8025 5.0893 5.3982
Tl 5.4076 5.1124 1.8192
Tl 5.4076 10.1902 1.8192
Ir 1.8025 7.6513 1.8173
Ir 5.4076 2.5504 5.4002
Cl 0.1328 7.6513 0.1486
Cl 0.1325 7.6513 3.4866
Cl 1.8025 5.2904 1.8205
Cl 1.8025 10.0122 1.8205
Cl 3.4722 7.6513 0.1486
Cl 3.4725 7.6513 3.4866
Cl 3.7375 2.5504 3.7308
Cl 3.7379 2.5504 7.0688
Cl 5.4076 0.1896 5.3970
Cl 5.4076 4.9113 5.3970
Cl 7.0776 2.5504 3.7308
Cl 7.0772 2.5504 7.0688
```

Computed properties:
total magnetic moment = 0.00 μB/f.u.
calculated volume = 531 Å³ per cell
formation energy (no corrections) = -9.393 eV per formula unit
SG = Pmmn, No. 59

Here is an optimized crystal structure of NaZnIrCl6 from Alexandria via LeMat-Bulk. Energies are from PBE.

```
18
Lattice="6.3191 0.0000 0.0000 -3.1596 5.4725 0.0000 0.0000 0.0000 12.3815" Properties=species:S:1:pos:R:3 pbc="T T T"
Na 0.0000 0.0000 0.0000
Na 0.0000 0.0000 6.1908
Zn 0.0000 3.6483 3.0954
Zn 3.1596 1.8242 9.2862
Ir 0.0000 3.6483 9.2862
Ir 3.1596 1.8242 3.0954
Cl -1.0726 2.0269 7.9413
Cl -1.9405 3.5302 10.6310
Cl 1.0726 2.0269 10.6310
Cl -0.8679 5.3879 7.9413
Cl 2.2917 0.0846 1.7505
Cl 1.2191 1.9423 4.4402
Cl 1.9405 3.5302 7.9413
Cl 0.8679 5.3879 10.6310
Cl 4.0275 0.0846 4.4402
Cl 2.0870 3.4456 1.7505
Cl 5.1000 1.9423 1.7505
Cl 4.2321 3.4456 4.4402
```

Computed properties:
total magnetic moment = 0.00 μB/f.u.
calculated volume = 428 Å³ per cell
formation energy (no corrections) = -8.748 eV per formula unit
SG = P-31c, No. 163

Here is an optimized crystal structure of NbIrCl3 from Alexandria via LeMat-Bulk. Energies are from PBE.

```
5
Lattice="4.8670 0.0000 0.0000 0.0000 4.8670 0.0000 0.0000 0.0000 4.8670" Properties=species:S:1:pos:R:3 pbc="T T T"
Nb 0.0000 0.0000 0.0000
Ir 2.4335 2.4335 2.4335
Cl 0.0000 0.0000 2.4335
Cl 0.0000 2.4335 0.0000
Cl 2.4335 0.0000 0.0000
```

Computed properties:
total magnetic moment = 0.99 μB/f.u.
calculated volume = 115 Å³ per cell
formation energy (no corrections) = 3.610 eV per formula unit
energy above the lowest structure with this stoichiometry = 0.44 kcal/mol of atoms
SG = Pm-3m, No. 221

Here is an optimized crystal structure of NbIr3Cl from Alexandria via LeMat-Bulk. Energies are from PBE.

```
5
Lattice="4.8557 0.0000 0.0000 0.0000 4.8557 0.0000 0.0000 0.0000 4.8557" Properties=species:S:1:pos:R:3 pbc="T T T"
Nb 0.0000 0.0000 0.0000
Ir 0.0000 0.0000 2.4278
Ir 0.0000 2.4278 0.0000
Ir 2.4278 0.0000 0.0000
Cl 2.4278 2.4278 2.4278
```

Computed properties:
total magnetic moment = 1.25 μB/f.u.
calculated volume = 114 Å³ per cell
formation energy (no corrections) = 9.196 eV per formula unit
energy above the lowest structure with this stoichiometry = 10.98 kcal/mol of atoms
SG = Pm-3m, No. 221

Here is an optimized crystal structure of Nb3IrCl from Alexandria via LeMat-Bulk. Energies are from PBE.

```
5
Lattice="4.4930 0.0000 0.0000 0.0000 4.4930 0.0000 0.0000 0.0000 4.4930" Properties=species:S:1:pos:R:3 pbc="T T T"
Nb 0.0000 0.0000 2.2465
Nb 0.0000 2.2465 0.0000
Nb 2.2465 0.0000 0.0000
Ir 2.2465 2.2465 2.2465
Cl 0.0000 0.0000 0.0000
```

Computed properties:
total magnetic moment = 0.00 μB/f.u.
calculated volume = 91 Å³ per cell
formation energy (no corrections) = 3.364 eV per formula unit
energy above the lowest structure with this stoichiometry = 0.00 kcal/mol of atoms
SG = Pm-3m, No. 221

Here is an optimized crystal structure of NbIrCl2 from Alexandria via LeMat-Bulk. Energies are from PBE.

```
16
Lattice="5.7923 0.0000 0.0000 0.0000 5.7923 0.0000 0.0000 0.0000 9.7239" Properties=species:S:1:pos:R:3 pbc="T T T"
Nb 0.0000 0.0000 0.0000
Nb 0.0000 2.8962 2.4310
Nb 2.8962 0.0000 7.2929
Nb 2.8962 2.8962 4.8620
Ir 0.0000 0.0000 4.8620
Ir 0.0000 2.8962 7.2929
Ir 2.8962 0.0000 2.4310
Ir 2.8962 2.8962 0.0000
Cl 1.4211 1.4481 6.0774
Cl 1.4481 4.3172 8.5084
Cl 1.4481 4.3713 3.6465
Cl 1.4751 1.4481 1.2155
Cl 4.3172 4.3442 1.2155
Cl 4.3442 1.4211 3.6465
Cl 4.3442 1.4751 8.5084
Cl 4.3713 4.3442 6.0774
```

Computed properties:
total magnetic moment = 0.00 μB/f.u.
calculated volume = 326 Å³ per cell
formation energy (no corrections) = 3.231 eV per formula unit
energy above the lowest structure with this stoichiometry = 18.73 kcal/mol of atoms
SG = I-42d, No. 122